Density functional theory data (GGA-PBE) for crystalline CuAs2Pd8 at its relaxed geometry.

a b c (Å): 4.7089 5.7208 7.3201
angles (deg): 111.05 106.33 95.73
Positions (direct):
Cu 0.0000 0.0000 0.0000
As 0.3229 0.3732 0.6808
As 0.6395 0.6943 0.3202
Pd 0.1736 0.5866 0.9997
Pd 0.1753 0.9394 0.3895
Pd 0.1819 0.4252 0.3397
Pd 0.3831 0.8468 0.7707
Pd 0.6118 0.0763 0.2298
Pd 0.6570 0.3527 0.0012
Pd 0.7874 0.5518 0.6108
Pd 0.8419 0.0879 0.6612

## Properties
E above lowest polymorph = 0 meV per atom
magnetization = 0.00 μB/cell
space group = P1
ΔH_f (0 K) = -2.6 eV/f.u.

=====

Density functional theory data (GGA-PBE) for crystalline SrCaTc2O8 at its relaxed geometry.

a b c (Å): 7.0861 7.0861 7.0861
angles (deg): 135.45 135.45 64.84
Positions (direct):
Sr 0.0000 0.0000 0.0000
Ca 0.2500 0.7500 0.5000
Tc 0.5000 0.5000 0.0000
Tc 0.7500 0.2500 0.5000
O 0.2851 0.6676 0.1138
O 0.3324 0.4461 0.6174
O 0.4280 0.0236 0.1038
O 0.5539 0.1713 0.8862
O 0.6758 0.5720 0.5955
O 0.8287 0.7149 0.3826
O 0.9197 0.3242 0.8962
O 0.9764 0.0803 0.4045

## Properties
magnetization = 2.03 μB/cell
space group = I-4
raw total energy = -7.36 eV per atom

=====

Density functional theory data (GGA-PBE) for crystalline Zn3Cd3CuPd2 at its relaxed geometry.

a b c (Å): 7.7844 7.7844 2.8801
angles (deg): 90.00 90.00 120.00
Positions (direct):
Zn 0.0000 0.3817 0.0000
Zn 0.3817 0.0000 0.0000
Zn 0.6183 0.6183 0.0000
Cd 0.0000 0.7093 0.5000
Cd 0.2907 0.2907 0.5000
Cd 0.7093 0.0000 0.5000
Cu 0.0000 0.0000 0.0000
Pd 0.3333 0.6667 0.5000
Pd 0.6667 0.3333 0.5000

## Properties
magnetization = 0.00 μB/cell
space group = P-62m
ΔH_f (0 K) = -1.3 eV/f.u.

=====

Density functional theory data (GGA-PBE) for crystalline AlHg2As at its relaxed geometry.

a b c (Å): 8.1513 8.1513 8.1513
angles (deg): 25.45 25.45 25.45
Positions (direct):
Al 0.0000 0.0000 0.0000
Hg 0.2531 0.2531 0.2531
Hg 0.7469 0.7469 0.7469
As 0.5000 0.5000 0.5000

## Properties
E above lowest polymorph = 267 meV per atom
magnetization = 0.00 μB/cell
space group = R-3m
ΔH_f (0 K) = 0.9 eV/f.u.